No. 1
A relaxed structure of RhC, computed with PBEsol.

Cell: 5.438 5.438 5.438 Å, 34.93 34.93 34.93°
Fractional positions:
Rh  0.096  0.096  0.096
Rh  0.904  0.904  0.904
C  0.408  0.408  0.408
C  0.592  0.592  0.592

* E: -7.995 eV per atom
* ΔE_f: 896 meV per atom
* DOS at the Fermi energy: 1.254 states/eV/cell
* symmetry: No. 166

=====

No. 2
A relaxed structure of Rh4C, computed with PBEsol.

Cell: 4.928 4.928 4.928 Å, 94.15 94.15 148.77°
Fractional positions:
Rh  0.068  0.739  0.807
Rh  0.261  0.068  0.329
Rh  0.739  0.932  0.671
Rh  0.932  0.261  0.193
C  0.500  0.500  0.000

* E: -8.004 eV per atom
* ΔE_f: 435 meV per atom
* DOS at the Fermi energy: 7.079 states/eV/cell
* symmetry: No. 87

=====

No. 3
A relaxed structure of RhCS3, computed with PBEsol.

Cell: 4.529 4.529 4.529 Å, 90.00 90.00 90.00°
Fractional positions:
Rh  0.000  0.000  0.000
C  0.500  0.500  0.500
S  0.000  0.000  0.500
S  0.000  0.500  0.000
S  0.500  0.000  0.000

* E: -4.389 eV per atom
* DOS at the Fermi energy: 5.981 states/eV/cell
* symmetry: No. 221
* formation energy (no corrections): 1798 meV/atom

=====

No. 4
A relaxed structure of RhCS2, computed with PBEsol.

Cell: 5.619 5.619 5.619 Å, 127.31 127.31 77.75°
Fractional positions:
Rh  0.000  0.000  0.000
Rh  0.750  0.250  0.500
C  0.250  0.750  0.500
C  0.500  0.500  0.000
S  0.181  0.625  0.056
S  0.375  0.431  0.556
S  0.569  0.125  0.944
S  0.875  0.819  0.444

* E: -6.007 eV per atom
* DOS at the Fermi energy: 6.054 states/eV/cell
* symmetry: No. 122
* formation energy (no corrections): 630 meV/atom

=====

No. 5
A relaxed structure of Sb2TeRhC, computed with PBEsol.

Cell: 4.942 4.942 5.359 Å, 90.00 90.00 90.00°
Fractional positions:
Sb  0.000  0.500  0.000
Sb  0.500  0.000  0.000
Te  0.000  0.000  0.500
Rh  0.000  0.000  0.000
C  0.500  0.500  0.500

* E: -4.442 eV per atom
* DOS at the Fermi energy: 4.187 states/eV/cell
* symmetry: No. 123
* formation energy (no corrections): 1643 meV/atom

=====

No. 6
A relaxed structure of SbRh2WC, computed with PBEsol.

Cell: 4.610 4.610 5.150 Å, 90.00 90.00 90.00°
Fractional positions:
Sb  0.000  0.000  0.000
Rh  0.000  0.500  0.500
Rh  0.500  0.000  0.500
W  0.000  0.000  0.500
C  0.500  0.500  0.000

* E: -6.374 eV per atom
* DOS at the Fermi energy: 4.124 states/eV/cell
* symmetry: No. 123
* formation energy (no corrections): 2483 meV/atom

=====

No. 7
A relaxed structure of ScRh3C, computed with PBEsol.

Cell: 4.046 4.046 4.046 Å, 90.00 90.00 90.00°
Fractional positions:
Sc  0.000  0.000  0.000
Rh  0.000  0.500  0.500
Rh  0.500  0.000  0.500
Rh  0.500  0.500  0.000
C  0.500  0.500  0.500

* E: -8.670 eV per atom
* ΔE_f: -537 meV per atom
* DOS at the Fermi energy: 1.073 states/eV/cell
* symmetry: No. 221

=====

No. 8
A relaxed structure of Sc3RhC, computed with PBEsol.

Cell: 4.825 4.825 4.825 Å, 90.00 90.00 90.00°
Fractional positions:
Sc  0.000  0.000  0.500
Sc  0.000  0.500  0.000
Sc  0.500  0.000  0.000
Rh  0.000  0.000  0.000
C  0.500  0.500  0.500

* E: -6.566 eV per atom
* ΔE_f: 953 meV per atom
* DOS at the Fermi energy: 6.304 states/eV/cell
* symmetry: No. 221